No. 1
Pm3ZrO | GGA-PBE | optimized geometry

Unit cell a=4.964 b=4.964 c=4.964 alpha=90.00 beta=90.00 gamma=90.00
Fractional positions:
Pm  0.000  0.000  0.500
Pm  0.000  0.500  0.000
Pm  0.500  0.000  0.000
Zr  0.500  0.500  0.500
O  0.000  0.000  0.000

- raw total energy (eV per atom) = -6.61
- V (Å³ per atom) = 24.5
- space group = Pm-3m (221)
- formation energy from raw total energies (eV/atom) = -1.055

***

No. 2
BaLaMg2Ni | GGA-PBE | optimized geometry

Unit cell a=5.195 b=5.195 c=5.515 alpha=90.00 beta=90.00 gamma=90.00
Fractional positions:
Ba  0.000  0.000  0.000
La  0.500  0.500  0.000
Mg  0.000  0.500  0.500
Mg  0.500  0.000  0.500
Ni  0.000  0.000  0.500

- raw total energy (eV per atom) = -3.01
- excess energy over the best structure of this formula in the dataset (eV per atom) = 0.274
- V (Å³ per atom) = 29.8
- DFT formation energy (meV per atom) = 149
- space group = P4/mmm (123)

***

No. 3
NdGa2Au10 | GGA-PBE | optimized geometry

Unit cell a=9.415 b=7.343 c=7.134 alpha=81.13 beta=50.40 gamma=48.47
Fractional positions:
Nd  0.000  0.000  0.000
Ga  0.000  0.500  0.000
Ga  0.500  0.000  0.500
Au  0.000  0.000  0.500
Au  0.010  0.335  0.665
Au  0.283  0.495  0.505
Au  0.335  0.010  0.990
Au  0.495  0.283  0.717
Au  0.500  0.500  0.000
Au  0.505  0.717  0.283
Au  0.665  0.990  0.010
Au  0.717  0.505  0.495
Au  0.990  0.665  0.335

- raw total energy (eV per atom) = -3.60
- V (Å³ per atom) = 19.4
- DFT formation energy (meV per atom) = -245
- space group = Fmmm (69)

***

No. 4
KZrV2Pb | GGA-PBE | optimized geometry

Unit cell a=5.075 b=5.075 c=5.759 alpha=90.00 beta=90.00 gamma=90.00
Fractional positions:
K  0.000  0.000  0.000
Zr  0.500  0.500  0.500
V  0.000  0.500  0.500
V  0.500  0.000  0.500
Pb  0.500  0.500  0.000

- raw total energy (eV per atom) = -5.17
- V (Å³ per atom) = 29.7
- DFT formation energy (meV per atom) = 1147
- space group = P4/mmm (123)

***

No. 5
Sr2PuRu2N6 | GGA-PBE | optimized geometry

Unit cell a=6.730 b=6.730 c=6.730 alpha=53.74 beta=53.74 gamma=53.74
Fractional positions:
Sr  0.220  0.220  0.220
Sr  0.780  0.780  0.780
Pu  0.000  0.000  0.000
Ru  0.431  0.431  0.431
Ru  0.569  0.569  0.569
N  0.240  0.240  0.751
N  0.240  0.751  0.240
N  0.249  0.760  0.760
N  0.751  0.240  0.240
N  0.760  0.249  0.760
N  0.760  0.760  0.249

- raw total energy (eV per atom) = -8.19
- V (Å³ per atom) = 16.7
- space group = R-3m (166)
- formation energy from raw total energies (eV/atom) = -0.353

***

Repeat the fifth record exactly.
Sr2PuRu2N6 | GGA-PBE | optimized geometry

Unit cell a=6.730 b=6.730 c=6.730 alpha=53.74 beta=53.74 gamma=53.74
Fractional positions:
Sr  0.220  0.220  0.220
Sr  0.780  0.780  0.780
Pu  0.000  0.000  0.000
Ru  0.431  0.431  0.431
Ru  0.569  0.569  0.569
N  0.240  0.240  0.751
N  0.240  0.751  0.240
N  0.249  0.760  0.760
N  0.751  0.240  0.240
N  0.760  0.249  0.760
N  0.760  0.760  0.249

- raw total energy (eV per atom) = -8.19
- V (Å³ per atom) = 16.7
- space group = R-3m (166)
- formation energy from raw total energies (eV/atom) = -0.353